Record 1
A plane-wave DFT calculation with PBE was carried out for a relaxed CeThS3 crystal.

```
10
Lattice="4.710 0.000 0.000 -2.355 7.653 0.230 0.000 -1.156 8.063" Properties=species:S:1:pos:R:3 pbc="T T T"
Ce 0.000 4.827 5.177
Ce 2.355 1.670 3.116
Th 0.000 0.880 7.328
Th 2.355 5.617 0.964
S 2.355 5.982 6.563
S 0.000 0.515 1.729
S 2.355 2.729 0.479
S 0.000 3.768 7.813
S 2.355 4.496 3.493
S 0.000 2.001 4.800
```

Computed properties:
Symmetry   C2/m, No. 12
Energy above the most stable polymorph in this dataset   24.08 kJ/mol of atoms
Crystal system   monoclinic
Density   5.33 g/cm³
Energy relative to the elements, uncorrected   -170 kJ per mole of atoms
Density of states at the Fermi level   1.587 states/eV/atom

---

Record 2
A plane-wave DFT calculation with PBE was carried out for a relaxed CeTh2S3 crystal.

```
12
Lattice="6.894 -0.021 -1.152 -3.714 5.808 -1.152 -0.014 -0.026 6.977" Properties=species:S:1:pos:R:3 pbc="T T T"
Ce -3.728 5.782 5.825
Ce 3.357 1.923 -1.152
Th 5.119 0.938 2.336
Th -0.178 3.865 -1.152
Th -1.949 4.821 2.336
Th 1.578 2.883 2.336
S 0.614 5.306 3.517
S -0.984 2.398 1.155
S 4.135 3.353 3.519
S 0.791 1.423 4.671
S 2.552 0.473 1.153
S 2.389 4.331 0.001
```

Computed properties:
Symmetry   C2/m, No. 12
Energy above the most stable polymorph in this dataset   0.00 kJ/mol of atoms
Crystal system   monoclinic
Density   8.35 g/cm³
Energy relative to the elements, uncorrected   -185 kJ per mole of atoms
Density of states at the Fermi level   1.098 states/eV/atom

---

Record 3
A plane-wave DFT calculation with PBE was carried out for a relaxed Ce4ThS6 crystal.

```
22
Lattice="-2.099 1.469 3.016 2.667 -6.008 2.186 16.236 9.616 6.614" Properties=species:S:1:pos:R:3 pbc="T T T"
Ce 8.885 2.119 7.746
Ce 3.398 -3.124 3.886
Ce 7.920 2.959 4.070
Ce 13.406 8.201 7.930
Ce 15.707 6.159 10.525
Ce 1.097 -1.082 1.291
Ce 9.417 5.839 6.305
Ce 7.387 -0.762 5.511
Th 3.518 1.482 4.322
Th 13.287 3.596 7.494
S -1.049 0.734 1.508
S 7.069 5.542 4.815
S 5.526 2.616 2.571
S 11.278 2.461 9.245
S 13.872 3.998 10.301
S 2.933 1.080 1.515
S 6.415 1.807 6.179
S 10.390 3.270 5.637
S 15.461 6.274 7.703
S 1.344 -1.197 4.113
S 5.053 -0.836 3.924
S 11.751 5.914 7.892
```

Computed properties:
Symmetry   Cmcm, No. 63
Crystal system   orthorhombic
Density   6.23 g/cm³
Energy relative to the elements, uncorrected   -190 kJ per mole of atoms
Density of states at the Fermi level   1.966 states/eV/atom

---

Record 4
A plane-wave DFT calculation with PBE was carried out for a relaxed Ce2Th2S7 crystal.

```
11
Lattice="-2.486 3.206 -0.121 -6.746 -2.834 -4.552 -7.033 -2.728 4.167" Properties=species:S:1:pos:R:3 pbc="T T T"
Ce -6.807 -2.812 -2.706
Ce -8.180 -1.160 1.205
Th -12.278 -1.856 -1.112
Th -3.939 -0.518 -0.854
S -4.604 1.598 0.805
S -11.036 -0.791 1.580
S -8.272 -1.126 3.988
S -6.832 -0.204 -1.175
S -9.370 -2.175 -1.234
S -11.725 -3.930 0.639
S -5.356 -1.517 1.776
```

Computed properties:
Symmetry   Imm2, No. 44
Crystal system   orthorhombic
Density   6.35 g/cm³
Energy relative to the elements, uncorrected   -192 kJ per mole of atoms
Density of states at the Fermi level   1.063 states/eV/atom

---

Record 5
A plane-wave DFT calculation with PBE was carried out for a relaxed CeTh4S5 crystal.

```
10
Lattice="5.145 0.000 2.481 2.572 6.382 1.241 -0.200 0.000 6.989" Properties=species:S:1:pos:R:3 pbc="T T T"
Ce 0.006 0.000 0.003
Th 2.932 2.549 7.082
Th 6.056 5.105 7.178
Th 1.470 1.277 3.539
Th 4.595 3.834 3.634
S 5.501 2.542 8.329
S 3.481 5.113 5.943
S 4.045 1.270 4.773
S 2.026 3.841 2.387
S 2.579 0.000 1.244
```

Computed properties:
Symmetry   I4/m, No. 87
Crystal system   tetragonal
Density   8.77 g/cm³
Energy relative to the elements, uncorrected   -182 kJ per mole of atoms
Density of states at the Fermi level   0.933 states/eV/atom

---

Record 6
A plane-wave DFT calculation with PBE was carried out for a relaxed Ce5Th3S8 crystal.

```
16
Lattice="6.986 0.000 4.002 2.347 6.580 4.002 0.018 0.013 8.068" Properties=species:S:1:pos:R:3 pbc="T T T"
Ce 3.493 0.000 2.001
Ce 4.667 3.290 4.002
Ce 0.000 0.000 0.000
Ce 1.173 3.290 2.001
Ce 4.675 3.296 8.036
Th 3.502 0.006 6.035
Th 0.009 0.006 4.034
Th 1.182 3.296 6.035
S 2.347 1.655 8.064
S 3.517 4.934 10.059
S 5.829 1.655 10.059
S 7.005 4.938 12.068
S 7.004 4.938 8.007
S 5.834 1.659 6.012
S 3.522 4.938 6.012
S 2.346 1.654 4.003
```

Computed properties:
Symmetry   R-3m, No. 166
Crystal system   trigonal
Density   7.42 g/cm³
Energy relative to the elements, uncorrected   -191 kJ per mole of atoms
Density of states at the Fermi level   1.693 states/eV/atom

---

Record 7
A plane-wave DFT calculation with PBE was carried out for a relaxed Ce3Th4S8 crystal.

```
15
Lattice="-4.830 6.346 -1.029 -3.076 -7.050 2.307 5.110 -0.189 6.192" Properties=species:S:1:pos:R:3 pbc="T T T"
Ce -3.953 -0.352 0.639
Ce 0.140 3.078 2.582
Ce -1.398 -0.447 3.735
Th -2.415 3.173 -0.514
Th -1.538 -3.525 1.153
Th 0.000 0.000 0.000
Th 2.555 -0.095 3.096
S -1.932 1.379 1.635
S -0.991 -5.302 3.297
S 0.517 -1.852 2.181
S -3.438 -2.156 2.767
S 0.641 1.262 4.703
S -3.314 0.958 5.289
S 3.024 -1.937 5.202
S -0.865 -2.273 5.835
```

Computed properties:
Symmetry   C2/m, No. 12
Crystal system   monoclinic
Density   7.27 g/cm³
Energy relative to the elements, uncorrected   -187 kJ per mole of atoms
Density of states at the Fermi level   1.074 states/eV/atom

---

Record 8
A plane-wave DFT calculation with PBE was carried out for a relaxed Ce4ThS5 crystal.

```
10
Lattice="5.124 0.000 2.472 2.562 6.360 1.236 -0.201 0.000 6.964" Properties=species:S:1:pos:R:3 pbc="T T T"
Ce 2.919 2.547 7.057
Ce 6.035 5.088 7.144
Ce 1.461 1.272 3.532
Ce 4.577 3.813 3.619
Th 0.007 0.000 0.003
S 5.483 2.550 8.288
S 3.474 5.083 5.906
S 4.021 1.276 4.771
S 2.013 3.810 2.388
S 2.569 0.000 1.239
```

Computed properties:
Symmetry   I4/m, No. 87
Crystal system   tetragonal
Density   6.88 g/cm³
Energy relative to the elements, uncorrected   -194 kJ per mole of atoms
Density of states at the Fermi level   1.896 states/eV/atom

---

Record 9
A plane-wave DFT calculation with PBE was carried out for a relaxed Ce2ThS5 crystal.

```
32
Lattice="-2.253 1.285 7.094 1.844 -7.770 1.992 11.192 3.409 2.937" Properties=species:S:1:pos:R:3 pbc="T T T"
Ce 3.360 -2.127 5.628
Ce 8.835 -3.701 11.363
Ce 6.504 2.921 5.403
Ce 2.866 -3.248 1.653
Ce 7.423 -0.950 6.396
Ce 1.948 0.624 0.660
Ce 4.279 -5.998 6.620
Ce 7.917 0.171 10.371
Th 6.707 -4.056 3.479
Th 11.521 -1.905 7.409
Th 4.077 0.979 8.544
Th -0.738 -1.172 4.614
S 6.599 -4.308 9.610
S 0.636 -3.030 6.079
S 4.946 -1.976 3.235
S 9.387 3.160 5.122
S 4.185 1.231 2.413
S 10.148 -0.047 5.945
S 5.838 -1.101 8.788
S 1.396 -6.237 6.901
S 3.010 -3.698 8.295
S 8.963 -2.197 8.638
S 7.774 0.621 3.729
S 1.820 -0.880 3.385
S 5.921 -3.540 6.218
S 12.462 -2.374 4.711
S 4.862 0.463 5.805
S -1.679 -0.703 7.312
S 8.954 -3.125 5.028
S 3.138 -4.704 4.250
S 1.829 0.048 6.995
S 7.645 1.627 7.773
```

Computed properties:
Symmetry   Pnma, No. 62
Crystal system   orthorhombic
Density   5.96 g/cm³
Energy relative to the elements, uncorrected   -194 kJ per mole of atoms
Density of states at the Fermi level   1.534 states/eV/atom

---

Record 10
A plane-wave DFT calculation with PBE was carried out for a relaxed CeTh2S6 crystal.

```
9
Lattice="5.054 0.000 0.000 2.527 7.091 -0.516 2.527 2.400 7.173" Properties=species:S:1:pos:R:3 pbc="T T T"
Ce 2.527 4.746 3.328
Th 5.054 7.486 5.898
Th 5.054 2.006 0.758
S 7.581 6.407 5.824
S 2.527 3.084 0.832
S 7.581 6.513 1.120
S 5.054 6.239 3.526
S 2.527 2.978 5.536
S 5.054 3.252 3.130
```

Computed properties:
Symmetry   C2/m, No. 12
Crystal system   monoclinic
Density   5.02 g/cm³
Energy relative to the elements, uncorrected   -169 kJ per mole of atoms

---

Record 11
A plane-wave DFT calculation with PBE was carried out for a relaxed CeTh2S4 crystal.

```
14
Lattice="6.930 0.000 -2.458 -3.475 6.000 -2.448 0.020 0.000 7.353" Properties=species:S:1:pos:R:3 pbc="T T T"
Ce 3.465 3.000 -1.229
Ce 0.000 0.000 0.000
Th -0.422 5.242 2.445
Th 2.170 2.242 2.456
Th 5.635 0.758 1.227
Th -0.432 3.758 -1.232
S 4.549 1.506 3.905
S 4.668 3.573 1.461
S 1.735 4.494 0.520
S -0.527 2.427 1.456
S 2.938 0.573 0.227
S 1.725 4.506 -3.156
S 1.084 1.494 5.134
S -2.272 5.427 0.242
```

Computed properties:
Symmetry   I-42d, No. 122
Energy above the most stable polymorph in this dataset   0.00 kJ/mol of atoms
Crystal system   tetragonal
Density   7.95 g/cm³
Energy relative to the elements, uncorrected   -184 kJ per mole of atoms
Density of states at the Fermi level   1.209 states/eV/atom

---

Record 12
A plane-wave DFT calculation with PBE was carried out for a relaxed Ce2TmThS5 crystal.

```
9
Lattice="4.823 0.000 0.000 0.000 4.823 0.000 0.000 0.000 10.438" Properties=species:S:1:pos:R:3 pbc="T T T"
Ce 2.411 2.411 3.153
Ce 2.411 2.411 7.285
Tm 0.000 0.000 5.219
Th 0.000 0.000 0.000
S 0.000 2.411 5.219
S 2.411 0.000 5.219
S 0.000 0.000 7.832
S 0.000 0.000 2.606
S 2.411 2.411 0.000
```

Computed properties:
Symmetry   P4/mmm, No. 123
Crystal system   tetragonal
Density   5.76 g/cm³
Energy relative to the elements, uncorrected   -139 kJ per mole of atoms
Density of states at the Fermi level   2.143 states/eV/atom